Material: La3Sm3Si4
Method: DFT, PBE-GGA
State: relaxed

abc: 4.442 7.762 7.762
angles: 90.77 90.00 90.00
Atoms (fractional coordinates):
La 0.000 0.000 0.000
La 0.000 0.148 0.504
La 0.000 0.504 0.148
Sm 0.000 0.647 0.647
Sm 0.500 0.324 0.825
Sm 0.500 0.825 0.324
Si 0.500 0.215 0.215
Si 0.500 0.441 0.441
Si 0.500 0.709 0.930
Si 0.500 0.930 0.709

DOS(E_F)	10.3	states/eV/cell
formation energy (no corrections)	-657	meV/atom
DFT total energy	-5.720	eV/atom
space group	Amm2, No. 38